No. 1
DFT (GGA-PBE) results for a relaxed K2In2Pt crystal.

Lattice parameters (Å, degrees): 7.181 7.181 6.026 90.00 90.00 90.00
Space group P4/mbm (No. 127)
One atom of each set of equivalent atoms:
K (0.182, 0.318, 0.000) x4
In (0.155, 0.655, 0.500) x4
Pt (0.000, 0.000, 0.500) x2

Output
distance to the lowest polymorph of the same formula: 87 meV/atom

No. 2
DFT (GGA-PBE) results for a relaxed K2In5Pt3 crystal.

Lattice parameters (Å, degrees): 4.733 27.066 7.459 90.00 90.00 90.00
Space group Cmc2_1 (No. 36)
One atom of each set of equivalent atoms:
K (0.000, 0.021, 0.000) x4
K (0.000, 0.326, 0.035) x4
In (0.000, 0.100, 0.366) x4
In (0.000, 0.207, 0.834) x4
In (0.000, 0.210, 0.245) x4
In (0.000, 0.376, 0.507) x4
In (0.000, 0.449, 0.168) x4
Pt (0.000, 0.108, 0.743) x4
Pt (0.000, 0.274, 0.541) x4
Pt (0.000, 0.448, 0.788) x4

No. 3
DFT (GGA-PBE) results for a relaxed KInPt2 crystal.

Lattice parameters (Å, degrees): 4.210 4.210 9.063 90.00 90.00 90.00
Space group I-4m2 (No. 119)
One atom of each set of equivalent atoms:
K (0.000, 0.000, 0.000) x2
In (0.000, 0.500, 0.250) x2
Pt (0.000, 0.000, 0.500) x2
Pt (0.000, 0.500, 0.750) x2

No. 4
DFT (GGA-PBE) results for a relaxed K3In2Pt2 crystal.

Lattice parameters (Å, degrees): 6.747 9.105 14.304 90.00 90.00 90.00
Space group Pbcm (No. 57)
One atom of each set of equivalent atoms:
K (0.126, 0.111, 0.096) x8
K (0.324, 0.709, 0.750) x4
In (0.227, 0.071, 0.750) x4
In (0.420, 0.750, 0.000) x4
Pt (0.387, 0.018, 0.584) x8

No. 5
DFT (GGA-PBE) results for a relaxed KIn3Pt3 crystal.

Lattice parameters (Å, degrees): 7.467 7.467 7.467 90.00 90.00 90.00
Space group Pm-3n (No. 223)
One atom of each set of equivalent atoms:
K (0.000, 0.000, 0.000) x2
In (0.000, 0.250, 0.500) x6
Pt (0.000, 0.500, 0.250) x6

Output
distance to the lowest polymorph of the same formula: 118 meV/atom

No. 6
DFT (GGA-PBE) results for a relaxed K2InPt crystal.

Lattice parameters (Å, degrees): 4.550 4.550 5.323 90.00 90.00 90.00
Space group P4/mmm (No. 123)
One atom of each set of equivalent atoms:
K (0.000, 0.500, 0.000) x2
In (0.000, 0.000, 0.500) x1
Pt (0.500, 0.500, 0.500) x1

No. 7
DFT (GGA-PBE) results for a relaxed KIn9Pt2 crystal.

Lattice parameters (Å, degrees): 11.943 11.943 8.419 90.00 90.00 90.00
Space group I4_1/amd (No. 141, origin choice 2)
One atom of each set of equivalent atoms:
K (0.000, 0.250, 0.375) x4
In (0.000, 0.250, 0.875) x4
In (0.122, 0.057, 0.680) x32
Pt (0.000, 0.000, 0.000) x8

No. 8
DFT (GGA-PBE) results for a relaxed K2In2Pt crystal.

Lattice parameters (Å, degrees): 4.6557 4.6557 31.1966 90.00 90.00 120.00
Space group R-3m (No. 166, hexagonal axes)
One atom of each set of equivalent atoms:
K (0.0000, 0.0000, 0.0680) x6
In (0.0000, 0.0000, 0.1902) x6
Pt (0.0000, 0.0000, 0.5000) x3

Output
distance to the lowest polymorph of the same formula: 0 meV/atom

Computed calculated formation energy (eV/f.u.) in order:
-0.84, -3.37, 0.52, -1.85, -1.26, 0.39, -2.10, -1.27
Computed raw total energy (eV/cell) in order:
-29.105, -149.515, -30.800, -90.798, -57.386, -10.580, -159.700, -44.960